## Co3HAu (SCAN)

Data for a crystal of Co3HAu relaxed with PBEsol.

a = 3.6735 Å, b = 3.6735 Å, c = 3.6735 Å
α = 90.00°, β = 90.00°, γ = 90.00°
Sites, in units of the cell vectors:
Co1 0.0000 0.5000 0.0000
Co2 0.5000 0.0000 0.0000
Co3 0.0000 0.0000 0.5000
Au1 0.5000 0.5000 0.5000
H1 0.0000 0.0000 0.0000

space group	No. 221
raw total energy	-124.081	eV per formula unit
spin magnetization	5.27	μB per formula unit
crystal system	cubic